No. 1
The following is a DFT calculation (GGA-PBE) of DySiB4 after structural relaxation.

Geometry as extended XYZ:
```
6
Lattice="-1.585 2.529 4.012 1.585 -2.529 4.012 1.585 2.529 -4.012" Properties=species:S:1:pos:R:3 pbc="T T T"
B 0.000 3.427 2.125
B 0.000 1.632 2.125
B 1.585 -0.897 1.888
B 1.585 0.897 1.888
Dy 0.000 0.000 0.000
Si 0.000 0.000 4.012
```

Values from the calculation:
- Offset from the most stable computed form: 0.0000 eV per atom
- DFT total energy: -6.20 eV/atom
- SG: Immm, No. 71

=====

No. 2
The following is a DFT calculation (GGA-PBE) of DySiB4 after structural relaxation.

Geometry as extended XYZ:
```
6
Lattice="-2.029 -0.153 2.321 -0.747 -1.117 -2.779 2.702 -6.605 1.927" Properties=species:S:1:pos:R:3 pbc="T T T"
B -0.850 -2.311 1.157
B 0.776 -5.564 0.312
B 0.349 -5.242 2.012
B -0.423 -2.632 -0.543
Dy 0.000 0.000 0.000
Si 1.351 -3.302 0.963
```

Values from the calculation:
- Offset from the most stable computed form: 0.0930 eV per atom
- DFT total energy: -6.11 eV/atom
- SG: P6/mmm, No. 191

=====

No. 3
The following is a DFT calculation (GGA-PBE) of Dy2Si3B after structural relaxation.

Geometry as extended XYZ:
```
6
Lattice="4.609 0.000 0.000 -2.305 3.992 0.000 0.000 0.000 7.655" Properties=species:S:1:pos:R:3 pbc="T T T"
Dy 2.305 1.331 4.952
Dy 0.000 2.661 2.703
B 0.000 0.000 3.828
Si -1.152 1.996 0.000
Si 1.152 1.996 0.000
Si 2.305 0.000 0.000
```

Values from the calculation:
- DFT total energy: -4.91 eV/atom
- SG: P-3m1, No. 164